[1]
The following is a DFT calculation (GGA-PBEsol) of a relaxed structure of ReIrIO2.

Calculated values
Calculated density: 8.7 g/cm3
Formation energy without anion corrections: 79.07 kJ/mol of atoms
Volume: 103.0 Å³ per cell
Crystal system: tetragonal
SG: P4/mmm

abc: 3.736 3.736 7.382
angles: 90.00 90.00 90.00
Element x y z (fractional)
Re (0.000, 0.000, 0.000)
Ir (0.500, 0.500, 0.500)
I (0.500, 0.500, 0.000)
O (0.000, 0.500, 0.500)
O (0.500, 0.000, 0.500)



[2]
The following is a DFT calculation (GGA-PBEsol) of a relaxed structure of ScIrI2O.

Calculated values
Calculated density: 7.4 g/cm3
Formation energy without anion corrections: -18.56 kJ/mol of atoms
Volume: 114.2 Å³ per cell
Crystal system: tetragonal
SG: P4/mmm

abc: 5.531 5.531 3.732
angles: 90.00 90.00 90.00
Element x y z (fractional)
Sc (0.000, 0.000, 0.000)
Ir (0.500, 0.500, 0.500)
I (0.000, 0.500, 0.500)
I (0.500, 0.000, 0.500)
O (0.500, 0.500, 0.000)



[3]
The following is a DFT calculation (GGA-PBEsol) of a relaxed structure of SnIrI2O.

Calculated values
Calculated density: 8.1 g/cm3
Formation energy without anion corrections: -8.56 kJ/mol of atoms
Volume: 118.7 Å³ per cell
Crystal system: tetragonal
SG: P4/mmm

abc: 5.629 5.629 3.747
angles: 90.00 90.00 90.00
Element x y z (fractional)
Sn (0.000, 0.000, 0.000)
Ir (0.500, 0.500, 0.500)
I (0.000, 0.500, 0.500)
I (0.500, 0.000, 0.500)
O (0.500, 0.500, 0.000)



[4]
The following is a DFT calculation (GGA-PBEsol) of a relaxed structure of SrIrI2O.

Calculated values
Calculated density: 6.0 g/cm3
Formation energy without anion corrections: 59.67 kJ/mol of atoms
Volume: 153.3 Å³ per cell
Crystal system: tetragonal
SG: P4/mmm

abc: 6.108 6.108 4.110
angles: 90.00 90.00 90.00
Element x y z (fractional)
Sr (0.000, 0.000, 0.000)
Ir (0.500, 0.500, 0.500)
I (0.000, 0.500, 0.000)
I (0.500, 0.000, 0.000)
O (0.000, 0.000, 0.500)



[5]
The following is a DFT calculation (GGA-PBEsol) of a relaxed structure of TaIrIO2.

Calculated values
Calculated density: 9.9 g/cm3
Formation energy without anion corrections: -66.20 kJ/mol of atoms
Volume: 89.0 Å³ per cell
Crystal system: tetragonal
SG: P4/mmm

abc: 3.826 3.826 6.083
angles: 90.00 90.00 90.00
Element x y z (fractional)
Ta (0.000, 0.000, 0.000)
Ir (0.500, 0.500, 0.500)
I (0.000, 0.000, 0.500)
O (0.000, 0.500, 0.000)
O (0.500, 0.000, 0.000)



[6]
The following is a DFT calculation (GGA-PBEsol) of a relaxed structure of TlIrI2O.

Calculated values
Calculated density: 8.2 g/cm3
Formation energy without anion corrections: 107.16 kJ/mol of atoms
Volume: 134.7 Å³ per cell
Crystal system: tetragonal
SG: P4/mmm

abc: 5.859 5.859 3.924
angles: 90.00 90.00 90.00
Element x y z (fractional)
Tl (0.000, 0.000, 0.000)
Ir (0.500, 0.500, 0.500)
I (0.000, 0.500, 0.000)
I (0.500, 0.000, 0.000)
O (0.000, 0.000, 0.500)